FeBr3 (GGA-PBEsol, relaxed); E = -3.099 eV/atom; symmetry = Fm-3m; crystal system = cubic; N(E_F) = 1.48 states/eV per atom; size of the total moment = 4.5 μB per formula unit; energy relative to the elements, uncorrected = 12.56 kcal/mol of atoms
1.0
6.987 0.000 0.000
0.000 6.987 0.000
0.000 0.000 6.987
Fe Br
4 12
direct
0.000 0.000 0.000
0.000 0.500 0.500
0.500 0.000 0.500
0.500 0.500 0.000
0.000 0.000 0.500
0.000 0.500 0.000
0.250 0.250 0.250
0.250 0.250 0.750
0.250 0.750 0.250
0.250 0.750 0.750
0.500 0.000 0.000
0.500 0.500 0.500
0.750 0.250 0.250
0.750 0.250 0.750
0.750 0.750 0.250
0.750 0.750 0.750